[1]
The following is a DFT calculation (PBEsol) of a relaxed HfTe2Pb crystal.

The value obtained for the volume is 121.9 Å³/f.u. The crystal system is trigonal. As for the uncorrected formation energy: -11.888 kcal/mol of atoms.

The space group is R-3m (No. 166, hexagonal axes) and the conventional cell measures 3.7407, 3.7407 and 30.1709 Å, with angles of 90.00, 90.00 and 120.00 degrees. Symmetry generates all atoms from Hf at (0.0000, 0.0000, 0.0000), Te at (0.0000, 0.0000, 0.3943) and Pb at (0.0000, 0.0000, 0.5000).

---

[2]
The following is a DFT calculation (PBEsol) of a relaxed U2Fe3Ge crystal.

The energy of formation from the pure elements comes out at -0.29 eV/atom. The value obtained for the volume is 83.6 Å³/f.u. The crystal system is hexagonal.

The space group is P6_3/mmc (No. 194) and the conventional cell measures 5.1137, 5.1137 and 7.3873 Å, with angles of 90.00, 90.00 and 120.00 degrees. Symmetry generates all atoms from U at (0.3333, 0.6667, 0.0679), Fe at (0.1707, 0.3414, 0.7500) and Ge at (0.0000, 0.0000, 0.0000).

---

[3]
The following is a DFT calculation (PBEsol) of a relaxed YGaSi3 crystal.

The value obtained for the volume is 142.1 Å³/f.u. The crystal system is cubic. As for the uncorrected formation energy: 24.900 kcal/mol of atoms.

The space group is Pm-3m (No. 221) and the conventional cell measures 5.218, 5.218 and 5.218 Å, with angles of 90.00, 90.00 and 90.00 degrees. Symmetry generates all atoms from Y at (0.000, 0.000, 0.000), Ga at (0.500, 0.500, 0.500) and Si at (0.000, 0.000, 0.500).

---

[4]
The following is a DFT calculation (PBEsol) of a relaxed TaSiNi crystal.

The value obtained for the volume is 39.2 Å³/f.u. The crystal system is tetragonal. As for the uncorrected formation energy: -10.349 kcal/mol of atoms.

The space group is I4mm (No. 107) and the conventional cell measures 2.839, 2.839 and 9.741 Å, with angles of 90.00, 90.00 and 90.00 degrees. Symmetry generates all atoms from Ta at (0.000, 0.000, 0.000), Si at (0.000, 0.000, 0.689) and Ni at (0.000, 0.000, 0.307).